1.
# Cu3Ag2

A relaxed structure of Cu3Ag2 (PBE, the Open Quantum Materials Database).

a b c (Å): 7.1482 7.1482 5.4812
angles (deg): 100.16 100.16 31.30
With the nearest neighbours (Å) after each atom.
Atoms (fractional coordinates):
Ag 0.5950 0.5950 0.2880  10 Cu 2.66-2.82, 2 Ag 2.78
Ag 0.1966 0.1966 0.5998  7 Cu 2.71-2.78, 5 Ag 2.78-2.84
Ag 0.4067 0.4067 0.6994  9 Cu 2.61-2.81, 3 Ag 2.81-2.84
Ag 0.8014 0.8014 0.9180  8 Cu 2.62-2.86, 4 Ag 2.81
Cu 0.1997 0.1997 0.1035  6 Cu 2.64-2.74, 6 Ag 2.69-2.75
Cu 0.3980 0.3980 0.2076  7 Cu 2.64-2.80, 5 Ag 2.67-2.81
Cu 0.8036 0.8036 0.3965  5 Cu 2.59-2.74, 7 Ag 2.62-2.86
Cu 0.9951 0.9951 0.4871  7 Cu 2.59-2.81, 5 Ag 2.66-2.73
Cu 0.5993 0.5993 0.8044  6 Ag 2.61-2.82, 6 Cu 2.65-2.81
Cu 0.0046 0.0046 0.9957  7 Cu 2.64-2.80, 5 Ag 2.67-2.75

Calculated values
V	14.3	A^3/atom
symmetry	Cm
uncorrected energy	-3.263	eV per atom


2.
# CuAg

A relaxed structure of CuAg (PBE, the Open Quantum Materials Database).

a b c (Å): 4.7567 4.8105 7.2921
angles (deg): 107.76 102.34 100.38
With the nearest neighbours (Å) after each atom.
Atoms (fractional coordinates):
Ag 0.2817 0.5985 0.0877  6 Cu 2.72-2.98, 6 Ag 2.73-2.84
Ag 0.5959 0.1971 0.1884  6 Cu 2.73-2.97, 6 Ag 2.78-2.90
Ag 0.8973 0.8034 0.3027  5 Cu 2.76-2.90, 7 Ag 2.78-2.84
Ag 0.2213 0.4160 0.4146  5 Cu 2.69-2.83, 6 Ag 2.78-2.90
Ag 0.1002 0.1873 0.7041  9 Cu 2.65-2.89, 3 Ag 2.73-2.79
Cu 0.5158 0.0099 0.5171  4 Cu 2.61-2.78, 7 Ag 2.67-2.88
Cu 0.8051 0.6010 0.6181  6 Cu 2.54-2.78, 5 Ag 2.69-2.84
Cu 0.4174 0.8085 0.7987  7 Cu 2.55-2.84, 4 Ag 2.70-2.74
Cu 0.6906 0.3997 0.8858  6 Cu 2.54-2.81, 5 Ag 2.69-2.81
Cu 0.9746 0.9785 0.9827  5 Cu 2.55-2.84, 6 Ag 2.65-2.86

Calculated values
V	15.0	A^3/atom
symmetry	P1
uncorrected energy	-3.173	eV per atom


What is the formula in the second record?
CuAg


Number 1 is which compound?
Cu3Ag2